# 1
## BeSi2Ag (SCAN)

Data for a crystal of BeSi2Ag relaxed with PBEsol.

```
BeSi2Ag
1.0
2.644 0.000 0.000
0.000 4.055 0.000
-1.322 -2.028 5.266
Be Si Ag
1 2 1
Direct
0.000 0.500 0.000 Be
0.694 0.694 0.389 Si
0.306 0.306 0.611 Si
0.500 0.000 0.000 Ag
```

Output
- total magnetization (Bohr magnetons per cell) = 0.000
- SG = No. 71
- uncorrected formation energy (eV per atom) = 0.4557

---

# 2
## BeSi2Ag (SCAN)

Data for a crystal of BeSi2Ag relaxed with PBEsol.

```
BeSi2Ag
1.0
2.726 0.000 0.000
-1.363 3.939 0.044
0.000 -1.460 5.275
Be Si Ag
1 2 1
Direct
0.500 0.000 0.000 Be
0.758 0.515 0.797 Si
0.242 0.485 0.203 Si
0.000 0.000 0.500 Ag
```

Output
- total magnetization (Bohr magnetons per cell) = 0.015
- SG = No. 12
- uncorrected formation energy (eV per atom) = 0.4579

---

# 3
## BeSiAg2 (SCAN)

Data for a crystal of BeSiAg2 relaxed with PBEsol.

```
BeSiAg2
1.0
-2.285 -0.617 -1.563
-2.462 -0.614 3.842
-0.368 4.427 -1.210
Be Si Ag
1 1 2
Direct
0.500 0.000 0.000 Be
0.500 0.500 0.500 Si
0.000 0.500 0.000 Ag
0.000 0.000 0.500 Ag
```

Output
- total magnetization (Bohr magnetons per cell) = 0.000
- SG = No. 65
- uncorrected formation energy (eV per atom) = 0.3792

---

# 4
## BeSi2Ag (SCAN)

Data for a crystal of BeSi2Ag relaxed with PBEsol.

```
BeSi2Ag
1.0
3.563 -0.660 0.000
-0.788 4.634 0.000
0.000 0.000 4.100
Be Si Ag
1 2 1
Direct
0.500 0.500 0.500 Be
0.166 0.328 0.000 Si
0.834 0.672 0.000 Si
0.000 0.000 0.500 Ag
```

Output
- total magnetization (Bohr magnetons per cell) = 0.000
- SG = No. 10
- uncorrected formation energy (eV per atom) = 0.3877